1.
The following is a DFT calculation (PBE) of an optimized crystal structure of Sn3BMo.

a b c (Å): 5.2421 5.2421 5.2421
angles (deg): 90.00 90.00 90.00
Last column: magnetic moment on the atom in μB.
Atoms (fractional coordinates):
Sn  0.0000  0.0000  0.5000  0.03
Sn  0.5000  0.0000  0.0000  0.03
Sn  0.0000  0.5000  0.0000  0.02
Mo  0.0000  0.0000  0.0000  0.06
B  0.5000  0.5000  0.5000  0.26

Summary:
DOS at the Fermi energy ... 5.428 states/eV/cell
DFT formation energy ... 1.230 eV per atom
E above lowest polymorph ... 138.9 meV per atom



2.
The following is a DFT calculation (PBE) of an optimized crystal structure of Hf2VCo.

a b c (Å): 4.5551 4.5551 4.5551
angles (deg): 60.00 60.00 60.00
Last column: magnetic moment on the atom in μB.
Atoms (fractional coordinates):
Hf  0.7500  0.7500  0.7500  0.02
Hf  0.2500  0.2500  0.2500  0.02
V  0.5000  0.5000  0.5000  1.57
Co  0.0000  0.0000  0.0000  0.27

Summary:
DOS at the Fermi energy ... 4.227 states/eV/cell
DFT formation energy ... -0.074 eV per atom
E above lowest polymorph ... 67.1 meV per atom



3.
The following is a DFT calculation (PBE) of an optimized crystal structure of RbZr2Sc.

a b c (Å): 5.4041 5.4041 5.4041
angles (deg): 60.00 60.00 60.00
Last column: magnetic moment on the atom in μB.
Atoms (fractional coordinates):
Rb  0.5000  0.5000  0.5000  0.03
Zr  0.7500  0.7500  0.7500  0.42
Zr  0.2500  0.2500  0.2500  0.42
Sc  0.0000  0.0000  0.0000  0.40

Summary:
DOS at the Fermi energy ... 8.731 states/eV/cell
DFT formation energy ... 1.151 eV per atom
E above lowest polymorph ... 0.0 meV per atom



4.
The following is a DFT calculation (PBE) of an optimized crystal structure of Nd12Dy6Sc.

a b c (Å): 8.6569 8.6569 8.6569
angles (deg): 89.17 89.17 89.17
Atoms (fractional coordinates):
Nd  0.0189  0.1879  0.3609
Nd  0.6391  0.9811  0.8121
Nd  0.9811  0.8121  0.6391
Nd  0.2171  0.4645  0.5644
Nd  0.7829  0.5355  0.4356
Nd  0.4645  0.5644  0.2171
Nd  0.1879  0.3609  0.0189
Nd  0.5644  0.2171  0.4645
Nd  0.4356  0.7829  0.5355
Nd  0.8121  0.6391  0.9811
Nd  0.5355  0.4356  0.7829
Nd  0.3609  0.0189  0.1879
Dy  0.7408  0.9019  0.2909
Dy  0.2592  0.0981  0.7091
Dy  0.9019  0.2909  0.7408
Dy  0.7091  0.2592  0.0981
Dy  0.2909  0.7408  0.9019
Dy  0.0981  0.7091  0.2592
Sc  0.0000  0.0000  0.0000

Summary:
DOS at the Fermi energy ... 32.743 states/eV/cell
DFT formation energy ... 0.135 eV per atom



5.
The following is a DFT calculation (PBE) of an optimized crystal structure of PuPa5Rh.

a b c (Å): 7.0307 7.0307 9.3419
angles (deg): 71.43 71.43 72.75
Atoms (fractional coordinates):
Pa  0.3382  0.6824  0.0625
Pa  0.7805  0.6881  0.1442
Pa  0.3176  0.6619  0.4375
Pa  0.8419  0.1581  0.2500
Pa  0.2195  0.3119  0.8558
Pa  0.1581  0.8419  0.7500
Pa  0.6619  0.3176  0.9375
Pa  0.6824  0.3382  0.5625
Pa  0.3119  0.2195  0.3558
Pa  0.6881  0.7805  0.6442
Rh  0.0000  0.0000  0.0000
Rh  0.0000  0.0000  0.5000
Pu  0.5445  0.4555  0.2500
Pu  0.4555  0.5445  0.7500

Summary:
DOS at the Fermi energy ... 21.678 states/eV/cell
DFT formation energy ... 0.086 eV per atom



What is the DFT formation energy in the fifth record? 0.086 eV per atom



Which of these has the highest DFT formation energy? Sn3BMo